Below is Ca2FeAu at its PBEsol-relaxed geometry, with properties calculated at the SCAN level.

Unit cell a=5.032 b=5.032 c=5.032 alpha=121.97 beta=121.97 gamma=86.61
Positions (direct):
Ca (0.250, 0.750, 0.500)
Ca (0.750, 0.250, 0.500)
Fe (0.000, 0.000, 0.000)
Au (0.500, 0.500, 0.000)

Computed properties:
Its space group is I4/mmm, No. 139. The uncorrected energy comes out at -26.775 eV per atom. The total moment is 2.2 Bohr magnetons per cell. Its density is 6.3 g cm⁻³.